VASP calculation (PBEsol) on a relaxed ScZn22 crystal.

Calculated values
For the formation energy, the calculation gives -62.9 meV/atom.

Cell lengths 13.8703, 13.8703, 13.8703 Å; angles 90.00, 90.00, 90.00 degrees
Closest atoms and distances in Å follow each position.
Space group Fd-3m (No. 227, origin choice 2)
Symmetry-distinct sites (fractional):
Sc: 0.1250 0.1250 0.1250 [8 per cell]  16 Zn 2.96-3.00
Zn: 0.0000 0.0000 0.0000 [16 per cell]  12 Zn 2.91, 2 Sc 3.00
Zn: 0.0000 0.0000 0.5000 [16 per cell]  6 Zn 2.46
Zn: 0.0153 0.3750 0.8750 [48 per cell]  8 Zn 2.46-2.75
Zn: 0.0617 0.0617 0.3189 [96 per cell]  6 Zn 2.49-2.78